# 1
This record from Alexandria via LeMat-Bulk describes a relaxed CsScPdI6 crystal. The functional is PBE.

extended XYZ file:
```
9
Lattice="7.483 0.000 0.000 -3.741 6.480 0.000 0.000 0.000 8.773" Properties=species:S:1:pos:R:3 pbc="T T T"
Cs 0.000 0.000 0.000
Sc 3.741 2.160 4.386
Pd 0.000 4.320 4.386
I -1.370 2.414 2.741
I -2.335 4.087 6.032
I 1.370 2.414 6.032
I -0.966 6.459 2.741
I 2.335 4.087 2.741
I 0.966 6.459 6.032
```

## Properties
Symmetry: P312
Formation energy (no corrections) (meV per atom): -896

***

# 2
This record from Alexandria via LeMat-Bulk describes a relaxed Cs2PdSeI crystal. The functional is PBE.

extended XYZ file:
```
5
Lattice="7.074 0.000 0.000 0.000 7.074 0.000 0.000 0.000 4.668" Properties=species:S:1:pos:R:3 pbc="T T T"
Cs 0.000 3.537 0.000
Cs 3.537 0.000 0.000
Pd 0.000 0.000 2.334
Se 0.000 0.000 0.000
I 3.537 3.537 2.334
```

## Properties
Symmetry: P4/mmm
Formation energy (no corrections) (meV per atom): -869

***

# 3
This record from Alexandria via LeMat-Bulk describes a relaxed Cs2SmPdI6 crystal. The functional is PBE.

extended XYZ file:
```
20
Lattice="4.267 2.464 14.013 -4.267 2.464 14.013 0.000 -4.927 14.013" Properties=species:S:1:pos:R:3 pbc="T T T"
Cs 0.000 0.000 5.083
Cs 0.000 0.000 12.436
Cs 0.000 0.000 29.602
Cs 0.000 0.000 36.955
Sm 0.000 0.000 17.551
Sm 0.000 0.000 24.487
Pd 0.000 0.000 0.000
Pd 0.000 0.000 21.019
I -2.142 -1.237 19.372
I 0.000 -2.518 15.742
I -2.181 1.259 15.742
I -2.181 -1.259 26.297
I 0.000 -2.474 22.666
I -2.142 1.237 22.666
I 2.142 -1.237 19.372
I 0.000 2.474 19.372
I 2.181 1.259 15.742
I 2.181 -1.259 26.297
I 0.000 2.518 26.297
I 2.142 1.237 22.666
```

## Properties
Symmetry: R-3m
Formation energy (no corrections) (meV per atom): -1151

***

# 4
This record from Alexandria via LeMat-Bulk describes a relaxed Cs3SnPd2I9 crystal. The functional is PBE.

extended XYZ file:
```
15
Lattice="8.259 0.000 0.000 -4.129 7.152 0.000 0.000 0.000 10.156" Properties=species:S:1:pos:R:3 pbc="T T T"
Cs 0.000 0.000 0.000
Cs 0.000 4.768 6.821
Cs 4.129 2.384 3.335
Sn 0.000 0.000 5.078
Pd 0.000 4.768 1.561
Pd 4.129 2.384 8.595
I -2.065 3.576 0.000
I 0.000 2.482 3.278
I -1.980 5.911 3.278
I 2.150 1.241 6.877
I 4.129 0.000 0.000
I 2.065 3.576 0.000
I 1.980 5.911 3.278
I 6.109 1.241 6.877
I 4.129 4.670 6.877
```

## Properties
Symmetry: P-3m1
Formation energy (no corrections) (meV per atom): -791

***

# 5
This record from Alexandria via LeMat-Bulk describes a relaxed Cs2TaPdI6 crystal. The functional is PBE.

extended XYZ file:
```
10
Lattice="-4.120 4.120 5.816 4.120 -4.120 5.816 4.120 4.120 -5.816" Properties=species:S:1:pos:R:3 pbc="T T T"
Cs 4.120 0.000 2.908
Cs 0.000 4.120 2.908
Ta 0.000 0.000 0.000
Pd 0.000 0.000 5.816
I 0.000 0.000 2.842
I 2.010 2.010 0.000
I 2.110 -2.110 5.816
I -2.110 2.110 5.816
I 0.000 0.000 8.789
I 2.110 2.110 5.816
```

## Properties
Symmetry: I4/mmm
Formation energy (no corrections) (meV per atom): -675

***

# 6
This record from Alexandria via LeMat-Bulk describes a relaxed CsTcPdI6 crystal. The functional is PBE.

extended XYZ file:
```
9
Lattice="7.395 0.000 0.000 -3.697 6.404 0.000 0.000 0.000 8.639" Properties=species:S:1:pos:R:3 pbc="T T T"
Cs 0.000 0.000 0.000
Tc 0.000 4.269 4.320
Pd 3.697 2.135 4.320
I -1.322 2.452 2.738
I -2.235 4.033 5.901
I 1.322 2.452 5.901
I -0.913 6.323 2.738
I 2.235 4.033 2.738
I 0.913 6.323 5.901
```

## Properties
Symmetry: P312
Formation energy (no corrections) (meV per atom): -353

***

# 7
This record from Alexandria via LeMat-Bulk describes a relaxed CsTePdI2 crystal. The functional is PBE.

extended XYZ file:
```
5
Lattice="7.255 0.000 0.000 0.000 7.255 0.000 0.000 0.000 7.239" Properties=species:S:1:pos:R:3 pbc="T T T"
Cs 0.000 0.000 0.000
Te 0.000 0.000 3.619
Pd 3.628 3.628 3.619
I 0.000 3.628 0.000
I 3.628 0.000 0.000
```

## Properties
Energy above the most stable polymorph in this dataset (meV per atom): 1248
Symmetry: P4/mmm
Formation energy (no corrections) (meV per atom): 723

***

# 8
This record from Alexandria via LeMat-Bulk describes a relaxed CsTePdI2 crystal. The functional is PBE.

extended XYZ file:
```
5
Lattice="5.827 0.000 0.000 0.000 5.827 0.000 0.000 0.000 5.355" Properties=species:S:1:pos:R:3 pbc="T T T"
Cs 0.000 0.000 0.000
Te 2.914 2.914 0.000
Pd 2.914 2.914 2.678
I 0.000 2.914 2.678
I 2.914 0.000 2.678
```

## Properties
Energy above the most stable polymorph in this dataset (meV per atom): 0
Symmetry: P4/mmm
Formation energy (no corrections) (meV per atom): -525